Compound: CdH2Se2
Source: Alexandria
Functional: PBE
Structure: optimized geometry

Summary:
- V (Å³ per atom) = 15.9
- DOS(E_F) (states/eV per cell) = 3.7
- E_tot (eV per atom) = -2.8589

```
data_CdH2Se2
_chemical_formula_sum 'Cd2 H4 Se4'
_symmetry_space_group_name_H-M 'I 4/m m m'
_symmetry_Int_Tables_number 139
_symmetry_space_group_name_Hall '-I 4 2'
_cell_length_a 5.332
_cell_length_b 5.332
_cell_length_c 5.606
_cell_angle_alpha 90.00
_cell_angle_beta 90.00
_cell_angle_gamma 90.00
loop_
_atom_site_label
_atom_site_fract_x
_atom_site_fract_y
_atom_site_fract_z
_atom_site_occupancy
Cd1 0.000 0.000 0.000 1
H1 0.000 0.000 0.433 1
Se1 0.000 0.500 0.250 1
```

Compound: PmSiPb
Source: Alexandria
Functional: PBE
Structure: optimized geometry

Summary:
- V (Å³ per atom) = 25.8
- DOS(E_F) (states/eV per cell) = 7.6
- E_tot (eV per atom) = -5.1472
- E_form (uncorrected) (kJ per mole of atoms) = -50.2

```
data_PmSiPb
_chemical_formula_sum 'Pm4 Si4 Pb4'
_symmetry_space_group_name_H-M 'C m c m'
_symmetry_Int_Tables_number 63
_symmetry_space_group_name_Hall '-C 2c 2'
_cell_length_a 4.294
_cell_length_b 18.685
_cell_length_c 3.852
_cell_angle_alpha 90.00
_cell_angle_beta 90.00
_cell_angle_gamma 90.00
loop_
_atom_site_label
_atom_site_fract_x
_atom_site_fract_y
_atom_site_fract_z
_atom_site_occupancy
Pm1 0.000 0.088 0.250 1
Si1 0.000 0.462 0.250 1
Pb1 0.000 0.299 0.250 1
```

Compound: ScTaTl
Source: Alexandria
Functional: PBE
Structure: optimized geometry

Summary:
- V (Å³ per atom) = 21.1
- DOS(E_F) (states/eV per cell) = 4.3
- E_tot (eV per atom) = -6.6428
- formation energy (eV/atom) = 0.207

```
data_ScTaTl
_chemical_formula_sum 'Sc2 Ta2 Tl2'
_symmetry_space_group_name_H-M 'I m m 2'
_symmetry_Int_Tables_number 44
_cell_length_a 3.225
_cell_length_b 3.877
_cell_length_c 10.120
_cell_angle_alpha 90.00
_cell_angle_beta 90.00
_cell_angle_gamma 90.00
loop_
_symmetry_equiv_pos_as_xyz
'x,y,z'
'-x,-y,z'
'-x,y,z'
'x,-y,z'
'x+1/2,y+1/2,z+1/2'
'-x+1/2,-y+1/2,z+1/2'
'-x+1/2,y+1/2,z+1/2'
'x+1/2,-y+1/2,z+1/2'
loop_
_atom_site_label
_atom_site_fract_x
_atom_site_fract_y
_atom_site_fract_z
_atom_site_occupancy
Sc1 0.000 0.000 0.000 1
Ta1 0.000 0.000 0.665 1
Tl1 0.000 0.000 0.328 1
```

Compound: In2AsPt
Source: Alexandria
Functional: PBE
Structure: optimized geometry

Summary:
- V (Å³ per atom) = 22.8
- DOS(E_F) (states/eV per cell) = 2.3
- E_tot (eV per atom) = -4.2371
- formation energy (eV/atom) = -0.195

```
data_In2AsPt
_chemical_formula_sum 'In4 As2 Pt2'
_symmetry_space_group_name_H-M 'C 1 m 1'
_symmetry_Int_Tables_number 8
_cell_length_a 9.796
_cell_length_b 3.330
_cell_length_c 6.116
_cell_angle_alpha 90.00
_cell_angle_beta 114.02
_cell_angle_gamma 90.00
loop_
_symmetry_equiv_pos_as_xyz
'x,y,z'
'x,-y,z'
'x+1/2,y+1/2,z'
'x+1/2,-y+1/2,z'
loop_
_atom_site_label
_atom_site_fract_x
_atom_site_fract_y
_atom_site_fract_z
_atom_site_occupancy
In1 0.000 0.000 0.000 1
In2 0.169 0.000 0.626 1
As1 0.357 0.000 0.376 1
Pt1 0.233 0.500 0.035 1
```

Compound: GaP3O9
Source: Alexandria
Functional: PBE
Structure: optimized geometry

Summary:
- V (Å³ per atom) = 12.5
- DOS(E_F) (states/eV per cell) = 0.0
- E_tot (eV per atom) = -6.9914
- E_form (uncorrected) (kJ per mole of atoms) = -200.4

```
data_GaP3O9
_chemical_formula_sum 'Ga4 P12 O36'
_symmetry_space_group_name_H-M 'C 1 c 1'
_symmetry_Int_Tables_number 9
_cell_length_a 13.205
_cell_length_b 6.482
_cell_length_c 9.468
_cell_angle_alpha 90.00
_cell_angle_beta 126.47
_cell_angle_gamma 90.00
loop_
_symmetry_equiv_pos_as_xyz
'x,y,z'
'x,-y,z+1/2'
'x+1/2,y+1/2,z'
'x+1/2,-y+1/2,z+1/2'
loop_
_atom_site_label
_atom_site_fract_x
_atom_site_fract_y
_atom_site_fract_z
_atom_site_occupancy
Ga1 0.000 0.240 0.000 1
P1 0.136 0.101 0.823 1
P2 0.244 0.450 0.738 1
P3 0.362 0.088 0.675 1
O1 0.028 0.119 0.835 1
O2 0.117 0.037 0.182 1
O3 0.151 0.409 0.092 1
O4 0.170 0.327 0.796 1
O5 0.264 0.047 0.008 1
O6 0.279 0.285 0.648 1
O7 0.359 0.458 0.401 1
O8 0.399 0.027 0.337 1
O9 0.467 0.152 0.664 1
```

Compound: K2NpRh2Se6
Source: Alexandria
Functional: PBE
Structure: optimized geometry

Summary:
- V (Å³ per atom) = 26.5
- DOS(E_F) (states/eV per cell) = 14.2
- E_tot (eV per atom) = -5.4826
- E_form (uncorrected) (kJ per mole of atoms) = -83.9

```
data_K2NpRh2Se6
_chemical_formula_sum 'K4 Np2 Rh4 Se12'
_symmetry_space_group_name_H-M 'C 1 2/m 1'
_symmetry_Int_Tables_number 12
_cell_length_a 6.429
_cell_length_b 11.326
_cell_length_c 8.243
_cell_angle_alpha 90.00
_cell_angle_beta 103.78
_cell_angle_gamma 90.00
loop_
_symmetry_equiv_pos_as_xyz
'x,y,z'
'-x,-y,-z'
'-x,y,-z'
'x,-y,z'
'x+1/2,y+1/2,z'
'-x+1/2,-y+1/2,-z'
'-x+1/2,y+1/2,-z'
'x+1/2,-y+1/2,z'
loop_
_atom_site_label
_atom_site_fract_x
_atom_site_fract_y
_atom_site_fract_z
_atom_site_occupancy
K1 0.000 0.158 0.000 1
Np1 0.000 0.000 0.500 1
Rh1 0.000 0.334 0.500 1
Se1 0.189 0.500 0.689 1
Se2 0.238 0.183 0.686 1
```

Compound: CdBiSb
Source: Alexandria
Functional: PBE
Structure: optimized geometry

Summary:
- V (Å³ per atom) = 30.6
- DOS(E_F) (states/eV per cell) = 1.9
- E_tot (eV per atom) = -2.9141
- E_form (uncorrected) (kJ per mole of atoms) = 5.7

```
data_CdBiSb
_chemical_formula_sum 'Cd2 Bi2 Sb2'
_symmetry_space_group_name_H-M 'P -1'
_symmetry_Int_Tables_number 2
_cell_length_a 4.782
_cell_length_b 6.106
_cell_length_c 6.794
_cell_angle_alpha 81.67
_cell_angle_beta 70.92
_cell_angle_gamma 79.85
loop_
_symmetry_equiv_pos_as_xyz
'x,y,z'
'-x,-y,-z'
loop_
_atom_site_label
_atom_site_fract_x
_atom_site_fract_y
_atom_site_fract_z
_atom_site_occupancy
Cd1 0.100 0.247 0.418 1
Bi1 0.490 0.701 0.247 1
Sb1 0.292 0.814 0.856 1
```

Compound: HoTmGaOs
Source: Alexandria
Functional: PBE
Structure: optimized geometry

Summary:
- V (Å³ per atom) = 20.5
- DOS(E_F) (states/eV per cell) = 11.2
- E_tot (eV per atom) = -6.2211
- formation energy (eV/atom) = -0.395

```
data_HoTmGaOs
_chemical_formula_sum 'Ho4 Tm4 Ga4 Os4'
_symmetry_space_group_name_H-M 'F -4 3 m'
_symmetry_Int_Tables_number 216
_symmetry_space_group_name_Hall 'F -4 2 3'
_cell_length_a 6.900
_cell_length_b 6.900
_cell_length_c 6.900
_cell_angle_alpha 90.00
_cell_angle_beta 90.00
_cell_angle_gamma 90.00
loop_
_atom_site_label
_atom_site_fract_x
_atom_site_fract_y
_atom_site_fract_z
_atom_site_occupancy
Ho1 0.000 0.000 0.000 1
Tm1 0.000 0.000 0.500 1
Ga1 0.250 0.250 0.250 1
Os1 0.250 0.250 0.750 1
```